(1)
LuScZnSn after structural relaxation. Source: Alexandria, functional PBE.

Summary:
M_tot = 0.000 μB/atom
V = 22.042 Å³/atom
Formation enthalpy at 0 K = -0.441 eV per atom

abc: 7.065 7.065 7.065
angles: 90.00 90.00 90.00
Atoms (fractional coordinates):
Lu (0.000, 0.000, 0.000)
Lu (0.000, 0.500, 0.500)
Lu (0.500, 0.000, 0.500)
Lu (0.500, 0.500, 0.000)
Sc (0.000, 0.000, 0.500)
Sc (0.000, 0.500, 0.000)
Sc (0.500, 0.000, 0.000)
Sc (0.500, 0.500, 0.500)
Zn (0.250, 0.250, 0.250)
Zn (0.250, 0.750, 0.750)
Zn (0.750, 0.250, 0.750)
Zn (0.750, 0.750, 0.250)
Sn (0.250, 0.250, 0.750)
Sn (0.250, 0.750, 0.250)
Sn (0.750, 0.250, 0.250)
Sn (0.750, 0.750, 0.750)

---

(2)
LuThScTa after structural relaxation. Source: Alexandria, functional PBE.

Summary:
M_tot = 0.019 μB/atom
V = 24.696 Å³/atom
Formation enthalpy at 0 K = 0.235 eV per atom

abc: 7.338 7.338 7.338
angles: 90.00 90.00 90.00
Atoms (fractional coordinates):
Lu (0.000, 0.000, 0.000)
Lu (0.000, 0.500, 0.500)
Lu (0.500, 0.000, 0.500)
Lu (0.500, 0.500, 0.000)
Th (0.000, 0.000, 0.500)
Th (0.000, 0.500, 0.000)
Th (0.500, 0.000, 0.000)
Th (0.500, 0.500, 0.500)
Sc (0.250, 0.250, 0.250)
Sc (0.250, 0.750, 0.750)
Sc (0.750, 0.250, 0.750)
Sc (0.750, 0.750, 0.250)
Ta (0.250, 0.250, 0.750)
Ta (0.250, 0.750, 0.250)
Ta (0.750, 0.250, 0.250)
Ta (0.750, 0.750, 0.750)

---

(3)
TbLuSc4 after structural relaxation. Source: Alexandria, functional PBE.

Summary:
M_tot = 0.708 μB/atom
V = 28.424 Å³/atom
Formation enthalpy at 0 K = 0.231 eV per atom

abc: 6.225 6.225 6.225
angles: 60.00 60.00 60.00
Atoms (fractional coordinates):
Tb (0.000, 0.000, 0.000)
Lu (0.250, 0.250, 0.250)
Sc (0.125, 0.625, 0.625)
Sc (0.625, 0.125, 0.625)
Sc (0.625, 0.625, 0.125)
Sc (0.625, 0.625, 0.625)

---

(4)
TbLuSc after structural relaxation. Source: Alexandria, functional PBE.

Summary:
M_tot = 0.000 μB/atom
V = 28.494 Å³/atom
Excess energy over the best structure of this formula in the dataset = 0.000 eV per atom
Formation enthalpy at 0 K = 0.046 eV per atom

abc: 3.439 3.439 14.456
angles: 90.00 90.00 90.00
Atoms (fractional coordinates):
Tb (0.000, 0.000, 0.000)
Tb (0.500, 0.500, 0.500)
Lu (0.000, 0.000, 0.324)
Lu (0.500, 0.500, 0.824)
Sc (0.000, 0.000, 0.664)
Sc (0.500, 0.500, 0.164)

---

(5)
TbLuSc after structural relaxation. Source: Alexandria, functional PBE.

Summary:
M_tot = 0.000 μB/atom
V = 28.402 Å³/atom
Excess energy over the best structure of this formula in the dataset = 0.032 eV per atom
Formation enthalpy at 0 K = 0.078 eV per atom

abc: 5.427 5.427 3.341
angles: 90.00 90.00 120.00
Atoms (fractional coordinates):
Tb (0.000, 0.000, 0.000)
Lu (0.333, 0.667, 0.502)
Sc (0.667, 0.333, 0.498)

---

(6)
TbLuThSc after structural relaxation. Source: Alexandria, functional PBE.

Summary:
M_tot = 0.000 μB/atom
V = 29.622 Å³/atom
Formation enthalpy at 0 K = 0.087 eV per atom

abc: 7.797 7.797 7.797
angles: 90.00 90.00 90.00
Atoms (fractional coordinates):
Tb (0.000, 0.000, 0.000)
Tb (0.000, 0.500, 0.500)
Tb (0.500, 0.000, 0.500)
Tb (0.500, 0.500, 0.000)
Lu (0.250, 0.250, 0.750)
Lu (0.250, 0.750, 0.250)
Lu (0.750, 0.250, 0.250)
Lu (0.750, 0.750, 0.750)
Th (0.000, 0.000, 0.500)
Th (0.000, 0.500, 0.000)
Th (0.500, 0.000, 0.000)
Th (0.500, 0.500, 0.500)
Sc (0.250, 0.250, 0.250)
Sc (0.250, 0.750, 0.750)
Sc (0.750, 0.250, 0.750)
Sc (0.750, 0.750, 0.250)